Entry 1:
Entry from Alexandria via LeMat-Bulk: crystalline Hf3CoAg at its relaxed geometry (PBE).

a b c (Å): 4.766 4.766 4.766
angles (deg): 90.00 90.00 90.00
Atoms (fractional coordinates):
Co: 0.000 0.000 0.000
Hf: 0.000 0.500 0.000
Hf: 0.000 0.000 0.500
Hf: 0.500 0.000 0.000
Ag: 0.500 0.500 0.500

For the energy above the most stable polymorph in this dataset, the calculation gives 0.000 eV per atom.



Entry 2:
Entry from Alexandria via LeMat-Bulk: crystalline Hf4CoAg at its relaxed geometry (PBE).

a b c (Å): 3.143 5.542 13.595
angles (deg): 91.16 90.00 90.00
Last column: magnetic moment on the atom in μB.
Atoms (fractional coordinates):
Hf: 0.500 0.180 0.340  -0.02
Hf: 0.000 0.320 0.160  -0.02
Hf: 0.500 0.820 0.660  -0.02
Hf: 0.000 0.680 0.840  -0.02
Hf: 0.000 0.659 0.342  -0.04
Hf: 0.500 0.841 0.158  -0.04
Hf: 0.000 0.341 0.658  -0.04
Hf: 0.500 0.159 0.842  -0.04
Co: 0.500 0.500 0.500  0.42
Co: 0.000 0.000 0.000  0.42
Ag: 0.000 0.000 0.500  0.00
Ag: 0.500 0.500 0.000  0.00



Entry 3:
Entry from Alexandria via LeMat-Bulk: crystalline HfCoAg2Ir at its relaxed geometry (PBE).

a b c (Å): 5.070 4.771 5.070
angles (deg): 90.00 90.00 90.00
Last column: magnetic moment on the atom in μB.
Atoms (fractional coordinates):
Co: 0.500 0.500 0.500  2.11
Ir: 0.000 0.000 0.000  0.02
Hf: 0.000 0.500 0.000  -0.10
Ag: 0.000 0.000 0.500  0.01
Ag: 0.500 0.000 0.000  0.00



Entry 4:
Entry from Alexandria via LeMat-Bulk: crystalline LuHfCoAg at its relaxed geometry (PBE).

a b c (Å): 4.733 4.733 4.733
angles (deg): 60.00 60.00 60.00
Atoms (fractional coordinates):
Co: 0.750 0.750 0.750
Lu: 0.000 0.000 0.000
Hf: 0.500 0.500 0.500
Ag: 0.250 0.250 0.250



Energy of formation (computed, meV per atom): 250; 99; 1171; -129
Total magnetic moment (computed, Bohr magnetons per cell): 0.0; 0.5; 2.0; 0.0
Calculated total energy (computed, eV/atom): -7.713; -8.196; -5.153; -6.237